A relaxed structure of GaFePt3, computed with PBE.

Summary:
Offset from the most stable computed form, eV/atom: 0.000

Unit cell a=4.5576 b=4.5592 c=7.7320 alpha=86.04 beta=72.82 gamma=76.02
Sites, in units of the cell vectors:
Ga (0.3544, 0.3443, 0.0090)
Ga (0.0567, 0.8445, 0.6056)
Fe (0.8508, 0.8441, 0.0169)
Fe (0.5602, 0.3448, 0.5977)
Pt (0.1444, 0.3446, 0.4295)
Pt (0.9536, 0.3440, 0.8103)
Pt (0.6493, 0.8447, 0.4200)
Pt (0.7619, 0.3441, 0.1945)
Pt (0.2668, 0.8441, 0.1850)
Pt (0.4576, 0.8447, 0.8042)

=====

A relaxed structure of Ga2FePt9, computed with PBE.

Unit cell a=3.9365 b=3.9365 c=11.8073 alpha=90.00 beta=90.00 gamma=90.00
Sites, in units of the cell vectors:
Ga (0.0000, 0.0000, 0.3333)
Ga (0.0000, 0.0000, 0.6667)
Fe (0.0000, 0.0000, 0.0000)
Pt (0.5000, 0.5000, 0.0000)
Pt (0.5000, 0.5000, 0.3321)
Pt (0.5000, 0.5000, 0.6679)
Pt (0.5000, 0.0000, 0.1633)
Pt (0.5000, 0.0000, 0.5000)
Pt (0.5000, 0.0000, 0.8367)
Pt (0.0000, 0.5000, 0.1633)
Pt (0.0000, 0.5000, 0.5000)
Pt (0.0000, 0.5000, 0.8367)

=====

A relaxed structure of Ga2FePt, computed with PBE.

Unit cell a=4.2652 b=4.2652 c=4.2652 alpha=60.00 beta=60.00 gamma=60.00
Sites, in units of the cell vectors:
Ga (0.2500, 0.2500, 0.2500)
Ga (0.7500, 0.7500, 0.7500)
Pt (0.5000, 0.5000, 0.5000)
Fe (0.0000, 0.0000, 0.0000)

=====

A relaxed structure of Ga2FePt5, computed with PBE.

Unit cell a=3.9695 b=5.5116 c=11.0006 alpha=90.00 beta=90.00 gamma=90.00
Sites, in units of the cell vectors:
Ga (0.5000, 0.2908, 0.3661)
Ga (0.5000, 0.7092, 0.6339)
Ga (0.5000, 0.2092, 0.8661)
Ga (0.5000, 0.7908, 0.1339)
Fe (0.0000, 0.0000, 0.5000)
Fe (0.0000, 0.5000, 0.0000)
Pt (0.5000, 0.2793, 0.1123)
Pt (0.5000, 0.7207, 0.8877)
Pt (0.5000, 0.7793, 0.3877)
Pt (0.5000, 0.2207, 0.6123)
Pt (0.0000, 0.9552, 0.7379)
Pt (0.0000, 0.0448, 0.2621)
Pt (0.0000, 0.4552, 0.7621)
Pt (0.0000, 0.5448, 0.2379)
Pt (0.0000, 0.5000, 0.5000)
Pt (0.0000, 0.0000, 0.0000)

=====

A relaxed structure of GaFePt3, computed with PBE.

Summary:
Offset from the most stable computed form, eV/atom: 1.469

Unit cell a=4.5919 b=4.5919 c=4.5919 alpha=90.00 beta=90.00 gamma=90.00
Sites, in units of the cell vectors:
Ga (0.0000, 0.0000, 0.0000)
Pt (0.0000, 0.5000, 0.0000)
Pt (0.0000, 0.0000, 0.5000)
Pt (0.5000, 0.0000, 0.0000)
Fe (0.5000, 0.5000, 0.5000)

=====

A relaxed structure of Ga2FePt, computed with PBE.

Unit cell a=3.0217 b=3.0217 c=5.9365 alpha=90.00 beta=90.00 gamma=90.00
Sites, in units of the cell vectors:
Ga (0.0000, 0.0000, 0.7753)
Ga (0.0000, 0.0000, 0.2247)
Pt (0.5000, 0.5000, 0.5000)
Fe (0.5000, 0.5000, 0.0000)

=====

A relaxed structure of GaFe4Pt, computed with PBE.

Unit cell a=3.0004 b=3.0004 c=8.5079 alpha=90.00 beta=90.00 gamma=90.00
Sites, in units of the cell vectors:
Ga (0.0000, 0.0000, 0.0000)
Fe (0.5000, 0.5001, 0.8357)
Fe (0.5000, 0.4999, 0.1643)
Fe (0.9999, 0.9999, 0.3125)
Fe (0.0001, 0.0001, 0.6875)
Pt (0.5000, 0.5000, 0.5000)

=====

A relaxed structure of Ga2FePt, computed with PBE.

Unit cell a=6.8534 b=6.8534 c=5.5280 alpha=51.69 beta=51.69 gamma=90.00
Sites, in units of the cell vectors:
Ga (0.6236, 0.1250, 0.2500)
Ga (0.1264, 0.6250, 0.2500)
Ga (0.3750, 0.3764, 0.7500)
Ga (0.8750, 0.8736, 0.7500)
Pt (0.0000, 0.0000, 0.0000)
Pt (0.7500, 0.2500, 0.5000)
Fe (0.5000, 0.5000, 0.0000)
Fe (0.2500, 0.7500, 0.5000)

=====

A relaxed structure of Ga2FePt2, computed with PBE.

Summary:
Offset from the most stable computed form, eV/atom: 0.000

Unit cell a=7.3929 b=7.3929 c=2.8390 alpha=90.00 beta=90.00 gamma=90.00
Sites, in units of the cell vectors:
Ga (0.1570, 0.6570, 0.5000)
Ga (0.6570, 0.8430, 0.5000)
Ga (0.8430, 0.3430, 0.5000)
Ga (0.3430, 0.1570, 0.5000)
Pt (0.3569, 0.8569, 0.0000)
Pt (0.8569, 0.6431, 0.0000)
Pt (0.6431, 0.1431, 0.0000)
Pt (0.1431, 0.3569, 0.0000)
Fe (0.0000, 0.0000, 0.0000)
Fe (0.5000, 0.5000, 0.0000)

=====

A relaxed structure of Ga2FePt8, computed with PBE.

Unit cell a=4.0271 b=6.2609 c=7.3179 alpha=107.75 beta=105.97 gamma=90.00
Sites, in units of the cell vectors:
Pt (0.5968, 0.4577, 0.1936)
Pt (0.3234, 0.0689, 0.6468)
Pt (0.1470, 0.2104, 0.2940)
Pt (0.0431, 0.7338, 0.0863)
Pt (0.8530, 0.7896, 0.7060)
Pt (0.6766, 0.9311, 0.3532)
Pt (0.4032, 0.5423, 0.8064)
Pt (0.9569, 0.2662, 0.9137)
Fe (0.5000, 0.0000, 0.0000)
Ga (0.2175, 0.6532, 0.4350)
Ga (0.7825, 0.3468, 0.5650)

=====

A relaxed structure of GaFe2Pt2, computed with PBE.

Unit cell a=7.4710 b=7.4710 c=2.7570 alpha=90.00 beta=90.00 gamma=90.00
Sites, in units of the cell vectors:
Ga (0.0000, 0.0000, 0.0000)
Ga (0.5000, 0.5000, 0.0000)
Pt (0.3253, 0.8253, 0.0000)
Pt (0.8253, 0.6747, 0.0000)
Pt (0.6747, 0.1747, 0.0000)
Pt (0.1747, 0.3253, 0.0000)
Fe (0.1177, 0.6177, 0.5000)
Fe (0.6177, 0.8823, 0.5000)
Fe (0.8823, 0.3823, 0.5000)
Fe (0.3823, 0.1177, 0.5000)

=====

A relaxed structure of Ga2FePt, computed with PBE.

Unit cell a=3.3581 b=4.0518 c=4.0518 alpha=90.00 beta=90.00 gamma=90.00
Sites, in units of the cell vectors:
Ga (0.0000, 0.0000, 0.5000)
Ga (0.0000, 0.5000, 0.0000)
Pt (0.5000, 0.0000, 0.0000)
Fe (0.5000, 0.5000, 0.5000)

=====

| no. | formation enthalpy at 0 K (eV per atom) | E (eV for the cell shown) |
| --- | --- | --- |
| 1 | -0.38 | -63.04 |
| 2 | -0.37 | -73.32 |
| 3 | -0.27 | -21.65 |
| 4 | -0.45 | -96.67 |
| 5 | 1.09 | -24.18 |
| 6 | -0.30 | -21.77 |
| 7 | -0.11 | -43.60 |
| 8 | 0.02 | -40.99 |
| 9 | -0.30 | -56.20 |
| 10 | -0.32 | -66.39 |
| 11 | -0.11 | -65.20 |
| 12 | -0.29 | -21.74 |